Computed, not measured: a relaxed Re2NiBr crystal at the GGA-PBE level of DFT.

density of states at the Fermi level: 5.96 states/eV per cell
total moment: 0.0 Bohr magnetons per cell
calculated volume: 14.38 A^3/atom

The structure in POSCAR format:
```
Re2NiBr
1.0
4.4237 0.0154 0.0000
-0.0179 4.4237 0.0000
0.0000 0.0000 2.9393
Re Br Ni
2 1 1
Direct
0.0000 0.0000 0.0000
0.5000 0.5000 0.0000
0.5000 0.0000 0.5000
0.0000 0.5000 0.5000
```


Computed, not measured: a relaxed KLiUI6 crystal at the GGA-PBE level of DFT.

density of states at the Fermi level: 21.71 states/eV per cell
total moment: 4.0 Bohr magnetons per cell
calculated volume: 45.91 A^3/atom

The structure in POSCAR format:
```
KLiUI6
1.0
-3.8429 -3.3297 5.9034
6.2417 -3.5170 -3.0621
9.2575 7.4997 10.2564
I Li K U
12 2 2 2
Direct
0.3638 0.3652 0.8606
0.3652 0.0014 0.1394
0.3638 0.9986 0.6394
0.6348 0.6362 0.6394
0.9986 0.3638 0.1394
0.0014 0.3652 0.6394
0.3652 0.3638 0.3606
0.0014 0.6362 0.8606
0.9986 0.6348 0.3606
0.6362 0.0014 0.3606
0.6362 0.6348 0.1394
0.6348 0.9986 0.8606
0.6667 0.3333 0.7500
0.3333 0.6667 0.2500
0.0000 0.0000 0.0000
0.0000 0.0000 0.5000
0.3333 0.6667 0.7500
0.6667 0.3333 0.2500
```


Computed, not measured: a relaxed Hf3Ti3Bi crystal at the GGA-PBE level of DFT.

density of states at the Fermi level: 16.91 states/eV per cell
total moment: 0.0 Bohr magnetons per cell
calculated volume: 20.53 A^3/atom

The structure in POSCAR format:
```
Hf3Ti3Bi
1.0
-7.6128 1.0043 2.5720
-0.4846 -1.4180 5.8036
-2.3956 6.4742 2.8513
Bi Ti Hf
2 6 6
Direct
0.6138 0.5697 0.6537
0.3862 0.4303 0.3463
0.0373 0.2158 0.4759
0.2696 0.3752 0.0402
0.7304 0.6248 0.9598
0.9627 0.7842 0.5241
0.5448 0.0979 0.6567
0.4552 0.9021 0.3433
0.8283 0.2375 0.2537
0.7244 0.1054 0.9189
0.8911 0.7321 0.1910
0.2756 0.8946 0.0811
0.1717 0.7625 0.7463
0.1089 0.2679 0.8090
```


Computed, not measured: a relaxed RbNb3B crystal at the GGA-PBE level of DFT.

density of states at the Fermi level: 9.34 states/eV per cell
total moment: 0.0 Bohr magnetons per cell
calculated volume: 19.85 A^3/atom

The structure in POSCAR format:
```
RbNb3B
1.0
-0.6945 4.5324 0.6433
-3.1454 0.0003 -3.3978
-3.3261 -0.9466 3.0789
B Nb Rb
1 3 1
Direct
0.0000 0.0000 0.0000
0.5000 0.0000 0.0000
0.0000 0.5000 0.0000
0.0000 0.0000 0.5000
0.5000 0.5000 0.5000
```


Computed, not measured: a relaxed Be2InMo crystal at the GGA-PBE level of DFT.

density of states at the Fermi level: 2.18 states/eV per cell
total moment: 0.3 Bohr magnetons per cell
calculated volume: 13.48 A^3/atom

The structure in POSCAR format:
```
Be2InMo
1.0
3.9362 0.0000 0.0000
0.0000 3.9402 0.0000
0.0000 0.0000 3.4761
Be Mo In
2 1 1
Direct
0.5000 0.5000 0.0000
0.0000 0.0000 0.0000
0.0000 0.5000 0.5000
0.5000 0.0000 0.5000
```


Computed, not measured: a relaxed CuNiRu3 crystal at the GGA-PBE level of DFT.

density of states at the Fermi level: 7.22 states/eV per cell
total moment: 4.1 Bohr magnetons per cell
calculated volume: 17.21 A^3/atom

The structure in POSCAR format:
```
CuNiRu3
1.0
-1.7469 -1.9520 3.5534
3.7213 0.7636 2.2489
-1.6090 3.8853 1.3433
Cu Ru Ni
1 3 1
Direct
0.0000 0.0000 0.0000
0.5000 0.0000 0.0000
0.0000 0.0000 0.5000
0.0000 0.5000 0.0000
0.5000 0.5000 0.5000
```


Number 1: uncorrected energy -6.919 eV per atom. Number 2: uncorrected energy -3.672 eV per atom. Number 3: uncorrected energy -8.216 eV per atom. Number 4: uncorrected energy -6.416 eV per atom. Number 5: uncorrected energy -5.036 eV per atom. Number 6: uncorrected energy -5.682 eV per atom.